# 1
Below is crystalline Pm12Ge6Br at its relaxed geometry, with properties calculated at the PBE level.

Calculated values
E_form (uncorrected)	-0.4633	eV/atom
M_tot	0.0000	μB/atom
crystal system	trigonal
space group	R-3m, No. 166
electronic total energy	-5.01	eV/atom

Lattice parameters (Å, degrees): 8.937 8.937 8.937 105.26 105.26 105.26
Element x y z (fractional)
Pm (0.000, 0.362, 0.638)
Pm (0.000, 0.638, 0.362)
Pm (0.054, 0.054, 0.324)
Pm (0.054, 0.324, 0.054)
Pm (0.324, 0.054, 0.054)
Pm (0.362, 0.000, 0.638)
Pm (0.362, 0.638, 0.000)
Pm (0.638, 0.000, 0.362)
Pm (0.638, 0.362, 0.000)
Pm (0.676, 0.946, 0.946)
Pm (0.946, 0.676, 0.946)
Pm (0.946, 0.946, 0.676)
Ge (0.167, 0.742, 0.742)
Ge (0.258, 0.258, 0.833)
Ge (0.258, 0.833, 0.258)
Ge (0.742, 0.167, 0.742)
Ge (0.742, 0.742, 0.167)
Ge (0.833, 0.258, 0.258)
Br (0.500, 0.500, 0.500)

---

# 2
Below is crystalline CaAsP2 at its relaxed geometry, with properties calculated at the PBE level.

Calculated values
M_tot	0.0000	μB/atom
crystal system	orthorhombic
energy relative to the elements	-0.273	eV/atom
space group	Imm2, No. 44
electronic total energy	-4.64	eV/atom

Lattice parameters (Å, degrees): 5.387 5.387 5.387 143.32 123.99 68.83
Element x y z (fractional)
Ca (0.000, 0.000, 0.000)
As (0.700, 0.200, 0.500)
P (0.294, 0.794, 0.500)
P (0.477, 0.477, 0.000)

---

# 3
Below is crystalline K2Hg12Pb at its relaxed geometry, with properties calculated at the PBE level.

Calculated values
M_tot	0.0000	μB/atom
crystal system	tetragonal
energy relative to the elements	-0.117	eV/atom
space group	P4/nbm, No. 125
electronic total energy	-0.75	eV/atom

Lattice parameters (Å, degrees): 7.180 7.180 18.422 90.00 90.00 90.00
Element x y z (fractional)
K (0.250, 0.750, 0.247)
K (0.250, 0.750, 0.753)
K (0.750, 0.250, 0.247)
K (0.750, 0.250, 0.753)
Hg (0.000, 0.000, 0.400)
Hg (0.000, 0.000, 0.600)
Hg (0.000, 0.500, 0.400)
Hg (0.000, 0.500, 0.600)
Hg (0.094, 0.594, 0.066)
Hg (0.094, 0.906, 0.934)
Hg (0.250, 0.250, 0.145)
Hg (0.250, 0.250, 0.309)
Hg (0.250, 0.250, 0.691)
Hg (0.250, 0.250, 0.855)
Hg (0.406, 0.594, 0.934)
Hg (0.406, 0.906, 0.066)
Hg (0.500, 0.000, 0.400)
Hg (0.500, 0.000, 0.600)
Hg (0.500, 0.500, 0.400)
Hg (0.500, 0.500, 0.600)
Hg (0.594, 0.094, 0.934)
Hg (0.594, 0.406, 0.066)
Hg (0.750, 0.750, 0.145)
Hg (0.750, 0.750, 0.309)
Hg (0.750, 0.750, 0.691)
Hg (0.750, 0.750, 0.855)
Hg (0.906, 0.094, 0.066)
Hg (0.906, 0.406, 0.934)
Pb (0.250, 0.750, 0.500)
Pb (0.750, 0.250, 0.500)

---

# 4
Below is crystalline Co2WSe at its relaxed geometry, with properties calculated at the PBE level.

Calculated values
E_form (uncorrected)	0.3114	eV/atom
M_tot	0.0001	μB/atom
crystal system	monoclinic
space group	Cm, No. 8
electronic total energy	-7.35	eV/atom

Lattice parameters (Å, degrees): 4.483 4.483 4.417 94.33 94.33 37.87
Element x y z (fractional)
Co (0.000, 0.000, 0.000)
Co (0.734, 0.734, 0.251)
W (0.273, 0.273, 0.791)
Se (0.489, 0.489, 0.423)